[1]
DFT (PBE) results for a geometry-optimized Li2MgPd2 structure.

Computed properties:
Calculated total energy   -3.61 eV/atom
Energy relative to the lowest polymorph listed for this composition   11 meV per atom
Formation enthalpy at 0 K   -0.449 eV/atom

Unit cell a=7.058 b=7.058 c=2.940 alpha=90.00 beta=90.00 gamma=90.00
Fractional positions:
Li: 0.383 0.883 0.000
Li: 0.883 0.617 0.000
Li: 0.117 0.383 0.000
Li: 0.617 0.117 0.000
Pd: 0.818 0.318 0.500
Pd: 0.682 0.818 0.500
Pd: 0.318 0.182 0.500
Pd: 0.182 0.682 0.500
Mg: 0.500 0.500 0.000
Mg: 0.000 0.000 0.000


[2]
DFT (PBE) results for a geometry-optimized Ca2GePtI structure.

Computed properties:
Calculated total energy   -3.10 eV/atom
Formation energy without anion corrections   0.14 eV per atom

Unit cell a=5.758 b=5.014 c=5.758 alpha=90.00 beta=90.00 gamma=90.00
Fractional positions:
Ca: 0.000 0.000 0.500
Ca: 0.500 0.000 0.000
Ge: 0.500 0.500 0.500
I: 0.000 0.000 0.000
Pt: 0.000 0.500 0.000